## TmNpPd (GGA-PBE)

Data for a geometry-optimized TmNpPd structure.

Mass density, kg/m³: 12802
Space-group type: C2/m
Energy, eV for the cell shown: -46.61
ΔE_f, meV per atom: -234.0

a = 5.1783 Å, b = 5.1783 Å, c = 8.2104 Å
α = 75.84°, β = 75.84°, γ = 38.69°
Last column: nearest neighbours and their distance in Å.
Element x y z (fractional)
Tm1 0.8347 0.8347 0.1266  4 Pd 2.87-2.98
Tm2 0.1653 0.1653 0.8734  4 Pd 2.87-2.98
Pd1 0.0940 0.0940 0.2486  4 Tm 2.87-2.98, 4 Np 3.11-3.17
Pd2 0.9060 0.9060 0.7514  4 Tm 2.87-2.98, 4 Np 3.11-3.17
Np1 0.6610 0.6610 0.5337  2 Np 2.40
Np2 0.3390 0.3390 0.4663  2 Np 2.40

## TmNp2Pd9 (GGA-PBE)

Data for a geometry-optimized TmNp2Pd9 structure.

Mass density, kg/m³: 12641
Space-group type: P4/mmm
Energy, eV for the cell shown: -84.46
ΔE_f, meV per atom: -614.4

a = 4.1211 Å, b = 4.1211 Å, c = 12.3813 Å
α = 90.00°, β = 90.00°, γ = 90.00°
Last column: nearest neighbours and their distance in Å.
Element x y z (fractional)
Np1 0.0000 0.0000 0.3310  12 Pd 2.90-2.94
Np2 0.0000 0.0000 0.6690  12 Pd 2.90-2.94
Pd1 0.0000 0.5000 0.5000  8 Pd 2.91-2.92, 4 Np 2.94
Pd2 0.0000 0.5000 0.8341  2 Np 2.90, 2 Tm 2.91, 8 Pd 2.91-2.92
Pd3 0.5000 0.0000 0.5000  8 Pd 2.91-2.92, 4 Np 2.94
Pd4 0.5000 0.0000 0.8341  2 Np 2.90, 2 Tm 2.91, 8 Pd 2.91-2.92
Pd5 0.5000 0.5000 0.6674  4 Np 2.91, 8 Pd 2.92
Pd6 0.5000 0.0000 0.1659  2 Np 2.90, 2 Tm 2.91, 8 Pd 2.91-2.92
Pd7 0.5000 0.5000 0.0000  8 Pd 2.91, 4 Tm 2.91
Pd8 0.5000 0.5000 0.3326  4 Np 2.91, 8 Pd 2.92
Pd9 0.0000 0.5000 0.1659  2 Np 2.90, 2 Tm 2.91, 8 Pd 2.91-2.92
Tm1 0.0000 0.0000 0.0000  12 Pd 2.91

## TmNpPd4 (GGA-PBE)

Data for a geometry-optimized TmNpPd4 structure.

Mass density, kg/m³: 12217
Space-group type: F-43m
Energy, eV for the cell shown: -41.34
ΔE_f, meV per atom: -526.9

a = 5.4271 Å, b = 5.4271 Å, c = 5.4271 Å
α = 60.00°, β = 60.00°, γ = 60.00°
Last column: nearest neighbours and their distance in Å.
Element x y z (fractional)
Pd1 0.6250 0.6250 0.1251  6 Pd 2.71
Pd2 0.1251 0.6250 0.6250  6 Pd 2.71
Pd3 0.6250 0.1251 0.6250  6 Pd 2.71
Pd4 0.6250 0.6250 0.6250  6 Pd 2.71
Tm1 0.2500 0.2500 0.2500  12 Pd 3.18, 4 Np 3.32
Np1 0.0000 0.0000 0.0000  12 Pd 3.18, 4 Tm 3.32